## SrTe4Mo (GGA-PBE)

Data for a geometry-optimized SrTe4Mo structure.

```
data_SrTe4Mo
_space_group_name_H-M_alt 'F -4 3 m'
_space_group_IT_number 216
_space_group_name_Hall 'F -4 2 3'
_cell_length_a 9.148
_cell_length_b 9.148
_cell_length_c 9.148
_cell_angle_alpha 90.00
_cell_angle_beta 90.00
_cell_angle_gamma 90.00
loop_
_atom_site_label
_atom_site_fract_x
_atom_site_fract_y
_atom_site_fract_z
Sr1 0.000 0.000 0.000
Te1 0.124 0.124 0.624
Mo1 0.250 0.250 0.250
```

Results
As for the density of states at the Fermi level: 2.01 states/eV/f.u. The value obtained for the total DFT energy (no corrections) is -3.70 eV per atom.